This record from the Alexandria database describes crystalline TlCoPt2 at its relaxed geometry. The functional is PBE-GGA.

Calculated values
SG: I4/mmm (139)
Energy in eV per atom: -5.29

a = 4.8906 Å, b = 4.8906 Å, c = 4.8906 Å
α = 131.20°, β = 131.13°, γ = 71.55°
Site moments in Bohr magnetons follow the coordinates.
Positions (direct):
Pt (0.9999, 0.9999, 0.0000)  0.17
Pt (0.5001, 0.5001, 0.0000)  0.17
Tl (0.2500, 0.7500, 0.5000)  -0.03
Co (0.7500, 0.2500, 0.5000)  1.82



This record from the Alexandria database describes crystalline TlCoPt2 at its relaxed geometry. The functional is PBE-GGA.

Calculated values
SG: P2/m (10)
Energy in eV per atom: -5.29

a = 3.3861 Å, b = 2.8513 Å, c = 7.3437 Å
α = 72.96°, β = 90.00°, γ = 90.00°
Site moments in Bohr magnetons follow the coordinates.
Positions (direct):
Pt (0.0000, 0.1066, 0.9520)  0.23
Pt (0.0000, 0.3934, 0.5480)  0.23
Co (0.5000, 0.7500, 0.7500)  1.97
Tl (0.5000, 0.2500, 0.2500)  -0.01



This record from the Alexandria database describes crystalline TlCoPt3 at its relaxed geometry. The functional is PBE-GGA.

Calculated values
ΔE to the lowest computed polymorph in meV per atom: 1064
SG: Pm-3m (221)

a = 5.0113 Å, b = 5.0113 Å, c = 5.0113 Å
α = 90.00°, β = 90.00°, γ = 90.00°
Site moments in Bohr magnetons follow the coordinates.
Positions (direct):
Pt (0.5000, 0.0000, 0.0000)  -0.02
Pt (0.0000, 0.0000, 0.5000)  0.04
Pt (0.0000, 0.5000, 0.0000)  -0.04
Co (0.5000, 0.5000, 0.5000)  2.30
Tl (0.0000, 0.0000, 0.0000)  0.00



This record from the Alexandria database describes crystalline TlCoPt2 at its relaxed geometry. The functional is PBE-GGA.

Calculated values
SG: P4mm (99)
Energy in eV per atom: -5.19

a = 2.9374 Å, b = 2.9374 Å, c = 7.6184 Å
α = 90.00°, β = 90.00°, γ = 90.00°
Site moments in Bohr magnetons follow the coordinates.
Positions (direct):
Pt (0.0000, 0.0000, 0.9769)  0.34
Pt (0.5000, 0.5000, 0.2331)  0.02
Co (0.5000, 0.5000, 0.7764)  1.69
Tl (0.0000, 0.0000, 0.5136)  -0.01



| no. | density (Mg/m³) |
| --- | --- |
| 1 | 16.727 |
| 2 | 16.007 |
| 3 | 11.197 |
| 4 | 16.508 |